Entry 1:
This record from Alexandria describes a relaxed structure of RbLiGe2Br6. The functional is GGA-PBE.

Lattice parameters (Å, degrees): 9.687 9.687 10.027 108.53 108.53 98.71
Fractional positions:
1 Rb 0.107 0.893 0.750
2 Rb 0.893 0.107 0.250
3 Li 0.209 0.791 0.250
4 Li 0.791 0.209 0.750
5 Ge 0.276 0.434 0.824
6 Ge 0.434 0.276 0.324
7 Ge 0.566 0.724 0.676
8 Ge 0.724 0.566 0.176
9 Br 0.024 0.211 0.669
10 Br 0.160 0.620 0.968
11 Br 0.211 0.024 0.169
12 Br 0.308 0.388 0.501
13 Br 0.380 0.840 0.532
14 Br 0.388 0.308 0.001
15 Br 0.612 0.692 0.999
16 Br 0.620 0.160 0.468
17 Br 0.692 0.612 0.499
18 Br 0.789 0.976 0.831
19 Br 0.840 0.380 0.032
20 Br 0.976 0.789 0.331

Summary:
energy relative to the elements, uncorrected: -0.964 eV/atom
spin magnetization: 0.000 μB/atom
DOS at the Fermi energy: 0.00 states/eV/f.u.
SG: C2/c
E: -3.179 eV/atom

Entry 2:
This record from Alexandria describes a relaxed structure of LiLa2FeC. The functional is GGA-PBE.

Lattice parameters (Å, degrees): 5.347 5.347 3.711 90.00 90.00 90.00
Fractional positions:
1 Li 0.000 0.000 0.000
2 La 0.000 0.500 0.500
3 La 0.500 0.000 0.500
4 Fe 0.500 0.500 0.000
5 C 0.500 0.500 0.500

Summary:
spin magnetization: 0.000 μB/atom
DOS at the Fermi energy: 4.19 states/eV/f.u.
SG: P4/mmm
E: -5.943 eV/atom

Entry 3:
This record from Alexandria describes a relaxed structure of LiInP2. The functional is GGA-PBE.

Lattice parameters (Å, degrees): 3.623 3.680 5.703 90.00 90.06 90.00
Fractional positions:
1 Li 0.000 0.000 0.000
2 In 0.000 0.000 0.500
3 P 0.500 0.500 0.183
4 P 0.500 0.500 0.817

Summary:
spin magnetization: 0.000 μB/atom
DOS at the Fermi energy: 0.89 states/eV/f.u.
SG: P2/m
E: -3.977 eV/atom

Entry 4:
This record from Alexandria describes a relaxed structure of TmBe2Ni5. The functional is GGA-PBE.

Lattice parameters (Å, degrees): 5.644 5.644 5.644 143.61 113.52 78.23
Fractional positions:
1 Tm 0.000 0.000 0.000
2 Be 0.264 0.764 0.500
3 Be 0.736 0.236 0.500
4 Ni 0.157 0.350 0.807
5 Ni 0.456 0.650 0.807
6 Ni 0.500 0.000 0.500
7 Ni 0.544 0.350 0.193
8 Ni 0.843 0.650 0.193

Summary:
spin magnetization: 0.000 μB/atom
DOS at the Fermi energy: 4.07 states/eV/f.u.
SG: Immm
E: -5.447 eV/atom

Entry 5:
This record from Alexandria describes a relaxed structure of La2ErUN4. The functional is GGA-PBE.

Lattice parameters (Å, degrees): 6.032 3.553 6.299 90.00 108.63 90.00
Fractional positions:
1 La 0.000 0.000 0.000
2 La 0.500 0.500 0.000
3 Er 0.000 0.500 0.500
4 U 0.500 0.000 0.500
5 N 0.259 0.000 0.705
6 N 0.280 0.500 0.298
7 N 0.720 0.500 0.702
8 N 0.741 0.000 0.295

Summary:
energy relative to the elements, uncorrected: -1.492 eV/atom
spin magnetization: 0.018 μB/atom
DOS at the Fermi energy: 4.71 states/eV/f.u.
SG: P2/m
E: -8.868 eV/atom

Entry 6:
This record from Alexandria describes a relaxed structure of Mg2Mn2Si. The functional is GGA-PBE.

Lattice parameters (Å, degrees): 5.975 5.975 4.338 90.00 90.00 90.00
Fractional positions:
1 Mg 0.169 0.331 0.000
2 Mg 0.331 0.831 0.000
3 Mg 0.669 0.169 0.000
4 Mg 0.831 0.669 0.000
5 Mn 0.134 0.634 0.500
6 Mn 0.366 0.134 0.500
7 Mn 0.634 0.866 0.500
8 Mn 0.866 0.366 0.500
9 Si 0.000 0.000 0.500
10 Si 0.500 0.500 0.500

Summary:
energy relative to the elements, uncorrected: 0.011 eV/atom
spin magnetization: 0.603 μB/atom
DOS at the Fermi energy: 2.91 states/eV/f.u.
SG: P4/mbm
E: -5.379 eV/atom

Entry 7:
This record from Alexandria describes a relaxed structure of La6PrY2Mg. The functional is GGA-PBE.

Lattice parameters (Å, degrees): 8.764 8.764 9.525 96.02 96.02 104.63
Fractional positions:
1 La 0.043 0.464 0.670
2 La 0.064 0.823 0.902
3 La 0.177 0.936 0.598
4 La 0.238 0.580 0.082
5 La 0.420 0.762 0.418
6 La 0.464 0.043 0.170
7 La 0.536 0.957 0.830
8 La 0.580 0.238 0.582
9 La 0.762 0.420 0.918
10 La 0.823 0.064 0.402
11 La 0.936 0.177 0.098
12 La 0.957 0.536 0.330
13 Pr 0.429 0.571 0.750
14 Pr 0.571 0.429 0.250
15 Y 0.236 0.299 0.403
16 Y 0.299 0.236 0.903
17 Y 0.701 0.764 0.097
18 Y 0.764 0.701 0.597
19 Mg 0.096 0.904 0.250
20 Mg 0.904 0.096 0.750

Summary:
spin magnetization: 0.000 μB/atom
DOS at the Fermi energy: 15.47 states/eV/f.u.
SG: C2/c
E: -4.804 eV/atom

Entry 8:
This record from Alexandria describes a relaxed structure of Tb5Pm2Nd2. The functional is GGA-PBE.

Lattice parameters (Å, degrees): 10.184 10.184 10.184 84.85 108.15 141.09
Fractional positions:
1 Tb 0.245 0.053 0.298
2 Tb 0.245 0.447 0.692
3 Tb 0.443 0.451 0.492
4 Tb 0.452 0.044 0.123
5 Tb 0.452 0.829 0.909
6 Tb 0.755 0.553 0.308
7 Tb 0.755 0.947 0.702
8 Tb 0.920 0.329 0.877
9 Tb 0.920 0.544 0.091
10 Tb 0.959 0.951 0.508
11 Pm 0.350 0.225 0.872
12 Pm 0.350 0.978 0.625
13 Pm 0.353 0.478 0.128
14 Pm 0.353 0.725 0.375
15 Nd 0.809 0.309 0.500
16 Nd 0.809 0.809 0.000
17 Nd 0.888 0.146 0.242
18 Nd 0.904 0.646 0.758

Summary:
spin magnetization: 0.000 μB/atom
DOS at the Fermi energy: 14.28 states/eV/f.u.
SG: Ima2
E: -4.487 eV/atom
polymorph energy (0 for the lowest one): 0.061 eV per atom

Entry 9:
This record from Alexandria describes a relaxed structure of HfAs2SeO. The functional is GGA-PBE.

Lattice parameters (Å, degrees): 4.270 4.270 4.681 90.00 90.00 90.00
Fractional positions:
1 Hf 0.000 0.000 0.000
2 As 0.000 0.500 0.500
3 As 0.500 0.000 0.500
4 Se 0.500 0.500 0.000
5 O 0.500 0.500 0.500

Summary:
energy relative to the elements, uncorrected: -0.132 eV/atom
spin magnetization: 0.000 μB/atom
DOS at the Fermi energy: 3.27 states/eV/f.u.
SG: P4/mmm
E: -5.671 eV/atom
polymorph energy (0 for the lowest one): 0.000 eV per atom

Entry 10:
This record from Alexandria describes a relaxed structure of AlSnSN2. The functional is GGA-PBE.

Lattice parameters (Å, degrees): 4.001 4.001 5.537 90.00 90.00 90.00
Fractional positions:
1 Al 0.000 0.000 0.000
2 Sn 0.500 0.500 0.500
3 S 0.500 0.500 0.000
4 N 0.000 0.500 0.500
5 N 0.500 0.000 0.500

Summary:
energy relative to the elements, uncorrected: 1.158 eV/atom
spin magnetization: 0.258 μB/atom
DOS at the Fermi energy: 3.31 states/eV/f.u.
SG: P4/mmm
E: -4.546 eV/atom
polymorph energy (0 for the lowest one): 0.665 eV per atom

Entry 11:
This record from Alexandria describes a relaxed structure of SnAuF2. The functional is GGA-PBE.

Lattice parameters (Å, degrees): 9.562 9.562 9.562 20.86 20.86 20.86
Fractional positions:
1 Sn 0.000 0.000 0.000
2 Au 0.500 0.500 0.500
3 F 0.380 0.380 0.380
4 F 0.620 0.620 0.620

Summary:
energy relative to the elements, uncorrected: -1.092 eV/atom
spin magnetization: 0.000 μB/atom
DOS at the Fermi energy: 0.40 states/eV/f.u.
SG: R-3m
E: -3.847 eV/atom
polymorph energy (0 for the lowest one): 0.000 eV per atom

Entry 12:
This record from Alexandria describes a relaxed structure of Sc3Re5. The functional is GGA-PBE.

Lattice parameters (Å, degrees): 5.546 5.546 4.502 90.00 90.00 108.90
Fractional positions:
1 Sc 0.000 0.000 0.000
2 Sc 0.245 0.755 0.500
3 Sc 0.755 0.245 0.500
4 Re 0.000 0.500 0.000
5 Re 0.271 0.271 0.500
6 Re 0.500 0.000 0.000
7 Re 0.500 0.500 0.000
8 Re 0.729 0.729 0.500

Summary:
spin magnetization: 0.000 μB/atom
DOS at the Fermi energy: 8.19 states/eV/f.u.
SG: Cmmm
E: -10.138 eV/atom
polymorph energy (0 for the lowest one): 0.000 eV per atom

Entry 13:
This record from Alexandria describes a relaxed structure of Sr2IrPt. The functional is GGA-PBE.

Lattice parameters (Å, degrees): 4.352 4.352 6.172 90.00 90.00 90.00
Fractional positions:
1 Sr 0.000 0.000 0.000
2 Sr 0.500 0.500 0.475
3 Ir 0.000 0.000 0.503
4 Pt 0.500 0.500 0.973

Summary:
spin magnetization: 0.256 μB/atom
DOS at the Fermi energy: 7.01 states/eV/f.u.
SG: P4mm
E: -4.476 eV/atom

Entry 14:
This record from Alexandria describes a relaxed structure of PaAgBi. The functional is GGA-PBE.

Lattice parameters (Å, degrees): 5.732 5.732 5.732 139.87 139.87 58.05
Fractional positions:
1 Pa 0.000 0.000 0.000
2 Ag 0.665 0.665 0.000
3 Bi 0.327 0.327 0.000

Summary:
spin magnetization: 0.300 μB/atom
DOS at the Fermi energy: 4.33 states/eV/f.u.
SG: I4mm
E: -5.259 eV/atom
polymorph energy (0 for the lowest one): 0.032 eV per atom

Entry 15:
This record from Alexandria describes a relaxed structure of TcMo2Ru. The functional is GGA-PBE.

Lattice parameters (Å, degrees): 4.412 4.412 4.412 60.00 60.00 60.00
Fractional positions:
1 Tc 0.000 0.000 0.000
2 Mo 0.250 0.250 0.250
3 Mo 0.750 0.750 0.750
4 Ru 0.500 0.500 0.500

Summary:
spin magnetization: 0.000 μB/atom
DOS at the Fermi energy: 8.16 states/eV/f.u.
SG: Fm-3m
E: -10.109 eV/atom
polymorph energy (0 for the lowest one): 0.115 eV per atom

Entry 16:
This record from Alexandria describes a relaxed structure of Li2RuAu2. The functional is GGA-PBE.

Lattice parameters (Å, degrees): 7.247 7.247 2.746 90.00 90.00 90.00
Fractional positions:
1 Li 0.121 0.379 0.000
2 Li 0.379 0.879 0.000
3 Li 0.621 0.121 0.000
4 Li 0.879 0.621 0.000
5 Ru 0.000 0.000 0.000
6 Ru 0.500 0.500 0.000
7 Au 0.179 0.679 0.500
8 Au 0.321 0.179 0.500
9 Au 0.679 0.821 0.500
10 Au 0.821 0.321 0.500

Summary:
spin magnetization: 0.000 μB/atom
DOS at the Fermi energy: 3.68 states/eV/f.u.
SG: P4/mbm
E: -3.984 eV/atom
polymorph energy (0 for the lowest one): 0.000 eV per atom

Entry 17:
This record from Alexandria describes a relaxed structure of KVSe2. The functional is GGA-PBE.

Lattice parameters (Å, degrees): 8.696 8.696 8.110 101.64 101.64 22.56
Fractional positions:
1 K 0.000 0.000 0.000
2 K 0.739 0.739 0.184
3 V 0.593 0.593 0.623
4 V 0.976 0.976 0.451
5 Se 0.115 0.115 0.409
6 Se 0.159 0.159 0.836
7 Se 0.407 0.407 0.239
8 Se 0.453 0.453 0.657

Summary:
energy relative to the elements, uncorrected: -0.866 eV/atom
spin magnetization: 0.000 μB/atom
DOS at the Fermi energy: 0.10 states/eV/f.u.
SG: Cm
E: -5.163 eV/atom

Entry 18:
This record from Alexandria describes a relaxed structure of AcPuB2O6. The functional is GGA-PBE.

Lattice parameters (Å, degrees): 6.559 6.559 6.651 102.59 102.59 98.51
Fractional positions:
1 Ac 0.152 0.848 0.750
2 Ac 0.848 0.152 0.250
3 Pu 0.407 0.593 0.250
4 Pu 0.593 0.407 0.750
5 B 0.125 0.356 0.719
6 B 0.356 0.125 0.219
7 B 0.644 0.875 0.781
8 B 0.875 0.644 0.281
9 O 0.078 0.606 0.345
10 O 0.181 0.185 0.110
11 O 0.185 0.181 0.610
12 O 0.281 0.513 0.875
13 O 0.394 0.922 0.155
14 O 0.487 0.719 0.625
15 O 0.513 0.281 0.375
16 O 0.606 0.078 0.845
17 O 0.719 0.487 0.125
18 O 0.815 0.819 0.390
19 O 0.819 0.815 0.890
20 O 0.922 0.394 0.655

Summary:
energy relative to the elements, uncorrected: -2.906 eV/atom
spin magnetization: 0.500 μB/atom
DOS at the Fermi energy: 9.42 states/eV/f.u.
SG: C2/c
E: -9.060 eV/atom

Entry 19:
This record from Alexandria describes a relaxed structure of La3AgGeS7. The functional is GGA-PBE.

Lattice parameters (Å, degrees): 10.493 10.493 5.900 90.00 90.00 120.00
Fractional positions:
1 La 0.124 0.359 0.000
2 La 0.235 0.876 0.000
3 La 0.359 0.235 0.500
4 La 0.641 0.765 0.000
5 La 0.765 0.124 0.500
6 La 0.876 0.641 0.500
7 Ag 0.000 0.000 0.450
8 Ag 0.000 0.000 0.950
9 Ge 0.333 0.667 0.585
10 Ge 0.667 0.333 0.085
11 S 0.092 0.266 0.484
12 S 0.110 0.589 0.739
13 S 0.174 0.908 0.484
14 S 0.266 0.174 0.984
15 S 0.333 0.667 0.211
16 S 0.411 0.521 0.739
17 S 0.479 0.890 0.739
18 S 0.521 0.110 0.239
19 S 0.589 0.479 0.239
20 S 0.667 0.333 0.711
21 S 0.734 0.826 0.484
22 S 0.826 0.092 0.984
23 S 0.890 0.411 0.239
24 S 0.908 0.734 0.984

Summary:
energy relative to the elements, uncorrected: -1.523 eV/atom
spin magnetization: 0.000 μB/atom
DOS at the Fermi energy: 0.00 states/eV/f.u.
SG: P6_3
E: -5.785 eV/atom

Entry 20:
This record from Alexandria describes a relaxed structure of Pm3HgAu5. The functional is GGA-PBE.

Lattice parameters (Å, degrees): 8.861 8.861 6.218 90.00 90.00 120.00
Fractional positions:
1 Pm 0.000 0.347 0.250
2 Pm 0.000 0.653 0.750
3 Pm 0.347 0.000 0.250
4 Pm 0.347 0.347 0.750
5 Pm 0.653 0.000 0.750
6 Pm 0.653 0.653 0.250
7 Hg 0.000 0.000 0.000
8 Hg 0.000 0.000 0.500
9 Au 0.000 0.322 0.750
10 Au 0.000 0.678 0.250
11 Au 0.322 0.000 0.750
12 Au 0.322 0.322 0.250
13 Au 0.333 0.667 0.000
14 Au 0.333 0.667 0.500
15 Au 0.667 0.333 0.000
16 Au 0.667 0.333 0.500
17 Au 0.678 0.000 0.250
18 Au 0.678 0.678 0.750

Summary:
spin magnetization: 0.000 μB/atom
DOS at the Fermi energy: 4.13 states/eV/f.u.
SG: P6_3/mcm
E: -4.153 eV/atom